Entry 1:
# Mg5Zn12Cd2 PBE relaxed
data_Mg5Zn12Cd2
_symmetry_space_group_name_H-M 'C 1 2/m 1'
_symmetry_Int_Tables_number 12
_cell_length_a 15.2082
_cell_length_b 6.7577
_cell_length_c 6.6507
_cell_angle_alpha 90.00
_cell_angle_beta 92.66
_cell_angle_gamma 90.00
loop_
_symmetry_equiv_pos_as_xyz
'x,y,z'
'-x,-y,-z'
'-x,y,-z'
'x,-y,z'
'x+1/2,y+1/2,z'
'-x+1/2,-y+1/2,-z'
'-x+1/2,y+1/2,-z'
'x+1/2,-y+1/2,z'
loop_
_atom_site_label
_atom_site_fract_x
_atom_site_fract_y
_atom_site_fract_z
Mg1 0.0000 0.0000 0.0000
Mg2 0.1926 0.5000 0.5360
Mg3 0.2473 0.0000 0.9374
Zn1 0.0509 0.5000 0.1720
Zn2 0.1134 0.3013 0.8558
Zn3 0.1364 0.0000 0.6031
Zn4 0.1499 0.1889 0.2463
Cd1 0.0000 0.2602 0.5000
# Calculated formation energy (meV/atom): -19
# Calculated volume (Å³/f.u.): 341.4

---

Entry 2:
# Mg2ZnCd6 PBE relaxed
data_Mg2ZnCd6
_symmetry_space_group_name_H-M 'C 1 2/m 1'
_symmetry_Int_Tables_number 12
_cell_length_a 10.1539
_cell_length_b 4.9651
_cell_length_c 8.2645
_cell_angle_alpha 90.00
_cell_angle_beta 106.83
_cell_angle_gamma 90.00
loop_
_symmetry_equiv_pos_as_xyz
'x,y,z'
'-x,-y,-z'
'-x,y,-z'
'x,-y,z'
'x+1/2,y+1/2,z'
'-x+1/2,-y+1/2,-z'
'-x+1/2,y+1/2,-z'
'x+1/2,-y+1/2,z'
loop_
_atom_site_label
_atom_site_fract_x
_atom_site_fract_y
_atom_site_fract_z
Mg1 0.0429 0.0000 0.3318
Zn1 0.0000 0.5000 0.0000
Cd1 0.1398 0.5000 0.5902
Cd2 0.1626 0.0000 0.0337
Cd3 0.2292 0.5000 0.2703
# Offset from the most stable computed form (meV per atom): 0
# Calculated formation energy (meV/atom): 2
# Calculated volume (Å³/f.u.): 199.4

---

Entry 3:
# MgZn2Cd9 PBE relaxed
data_MgZn2Cd9
_symmetry_space_group_name_H-M 'I 41/a m d'
_symmetry_Int_Tables_number 141
_cell_length_a 11.9995
_cell_length_b 11.9995
_cell_length_c 7.4442
_cell_angle_alpha 90.00
_cell_angle_beta 90.00
_cell_angle_gamma 90.00
loop_
_symmetry_equiv_pos_as_xyz
'x,y,z'
'-x,-y,-z'
'-y+1/4,x+3/4,z+1/4'
'y+1/4,-x+3/4,-z+1/4'
'-x+1/2,-y,z+1/2'
'x+1/2,y,-z+1/2'
'y+1/4,-x+1/4,z+3/4'
'-y+1/4,x+1/4,-z+3/4'
'x,-y,-z'
'-x,y,z'
'-y+1/4,-x+1/4,-z+3/4'
'y+1/4,x+1/4,z+3/4'
'-x+1/2,y,-z+1/2'
'x+1/2,-y,z+1/2'
'y+1/4,x+3/4,-z+1/4'
'-y+1/4,-x+3/4,z+1/4'
'x+1/2,y+1/2,z+1/2'
'-x+1/2,-y+1/2,-z+1/2'
'-y+3/4,x+1/4,z+3/4'
'y+3/4,-x+1/4,-z+3/4'
'-x,-y+1/2,z'
'x,y+1/2,-z'
'y+3/4,-x+3/4,z+1/4'
'-y+3/4,x+3/4,-z+1/4'
'x+1/2,-y+1/2,-z+1/2'
'-x+1/2,y+1/2,z+1/2'
'-y+3/4,-x+3/4,-z+1/4'
'y+3/4,x+3/4,z+1/4'
'-x,y+1/2,-z'
'x,-y+1/2,z'
'y+3/4,x+1/4,-z+3/4'
'-y+3/4,-x+1/4,z+3/4'
loop_
_atom_site_label
_atom_site_fract_x
_atom_site_fract_y
_atom_site_fract_z
Mg1 0.0000 0.2500 0.3750
Zn1 0.0000 0.0000 0.0000
Cd1 0.0000 0.2500 0.8750
Cd2 0.1209 0.0583 0.6707
# Calculated formation energy (meV/atom): 72
# Calculated volume (Å³/f.u.): 268.0

---

Entry 4:
# Mg2ZnCd5 PBE relaxed
data_Mg2ZnCd5
_symmetry_space_group_name_H-M 'P 1 21/c 1'
_symmetry_Int_Tables_number 14
_cell_length_a 5.1808
_cell_length_b 12.0875
_cell_length_c 10.8555
_cell_angle_alpha 90.00
_cell_angle_beta 91.14
_cell_angle_gamma 90.00
loop_
_symmetry_equiv_pos_as_xyz
'x,y,z'
'-x,-y,-z'
'-x,y+1/2,-z+1/2'
'x,-y+1/2,z+1/2'
loop_
_atom_site_label
_atom_site_fract_x
_atom_site_fract_y
_atom_site_fract_z
Mg1 0.1545 0.1182 0.1102
Mg2 0.3271 0.5026 0.8694
Zn1 0.1688 0.6224 0.6345
Cd1 0.1646 0.1273 0.6172
Cd2 0.1718 0.6278 0.1303
Cd3 0.3258 0.2497 0.3632
Cd4 0.3389 0.7474 0.3858
Cd5 0.3400 0.0034 0.8723
# Calculated formation energy (meV/atom): -35
# Calculated volume (Å³/f.u.): 169.9